# Pm2NdDyTm4 (GGA-PBE, optimized geometry)
# Magnetization   0.278 μB per atom
# Crystal system   monoclinic
# Total DFT energy (no corrections)   -4.17 eV per atom
data_Pm2NdDyTm4
_chemical_formula_sum 'Pm4 Nd2 Dy2 Tm8'
_cell_length_a 9.484
_cell_length_b 9.484
_cell_length_c 6.783
_cell_angle_alpha 110.95
_cell_angle_beta 110.95
_cell_angle_gamma 88.45
_symmetry_space_group_name_H-M 'P 1'
_symmetry_Int_Tables_number 1
_symmetry_space_group_name_Hall 'P 1'
loop_
_atom_site_label
_atom_site_type_symbol
_atom_site_fract_x
_atom_site_fract_y
_atom_site_fract_z
Pm1 Pm 0.000 0.000 0.000
Pm2 Pm 0.000 0.000 0.500
Pm3 Pm 0.000 0.500 0.000
Pm4 Pm 0.500 0.000 0.500
Nd1 Nd 0.000 0.500 0.500
Nd2 Nd 0.500 0.000 0.000
Dy1 Dy 0.500 0.500 0.000
Dy2 Dy 0.500 0.500 0.500
Tm1 Tm 0.252 0.747 0.000
Tm2 Tm 0.253 0.253 0.003
Tm3 Tm 0.253 0.253 0.503
Tm4 Tm 0.253 0.748 0.500
Tm5 Tm 0.747 0.252 0.500
Tm6 Tm 0.747 0.747 0.497
Tm7 Tm 0.747 0.747 0.997
Tm8 Tm 0.748 0.253 0.000